Computed, not measured: crystalline Sr3Ga2Pd6 at its relaxed geometry at the PBE level of DFT.

ΔE_f	-724.9	kJ/mol of formula units
space-group type	No. 229

Structure (POSCAR):
```
Sr3Ga2Pd6
1.0
-4.899 4.899 4.899
4.899 -4.899 4.899
4.899 4.899 -4.899
Sr Ga Pd
6 4 12
Direct
0.000 0.299 0.299 Sr
0.000 0.701 0.701 Sr
0.299 0.000 0.299 Sr
0.299 0.299 0.000 Sr
0.701 0.000 0.701 Sr
0.701 0.701 0.000 Sr
0.000 0.000 0.500 Ga
0.000 0.500 0.000 Ga
0.500 0.000 0.000 Ga
0.500 0.500 0.500 Ga
0.000 0.322 0.678 Pd
0.000 0.678 0.322 Pd
0.322 0.000 0.678 Pd
0.322 0.322 0.644 Pd
0.322 0.644 0.322 Pd
0.322 0.678 0.000 Pd
0.356 0.678 0.678 Pd
0.644 0.322 0.322 Pd
0.678 0.000 0.322 Pd
0.678 0.322 0.000 Pd
0.678 0.356 0.678 Pd
0.678 0.678 0.356 Pd
```



Computed, not measured: crystalline NdThSi2O8 at its relaxed geometry at the PBE level of DFT.

space-group type	No. 119
formation energy without anion corrections	-3.0569	eV/atom

Structure (POSCAR):
```
NdThSi2O8
1.0
-3.599 3.599 3.197
3.599 -3.599 3.197
3.599 3.599 -3.197
Nd Th Si O
1 1 2 8
Direct
0.000 0.000 0.000 Nd
0.750 0.250 0.500 Th
0.250 0.750 0.500 Si
0.500 0.500 0.000 Si
0.084 0.409 0.325 O
0.084 0.758 0.675 O
0.159 0.337 0.822 O
0.242 0.916 0.325 O
0.515 0.337 0.178 O
0.591 0.916 0.675 O
0.663 0.485 0.822 O
0.663 0.841 0.178 O
```



Computed, not measured: crystalline PmTh3Bi6 at its relaxed geometry at the PBE level of DFT.

ΔE_f	-184.0	kJ/mol of formula units
space-group type	No. 2

Structure (POSCAR):
```
PmTh3Bi6
1.0
6.620 0.000 0.000
3.303 5.749 0.000
3.299 1.898 10.382
Pm Th Bi
1 3 6
Direct
0.000 0.000 0.000 Pm
0.178 0.178 0.465 Th
0.500 0.500 0.500 Th
0.822 0.822 0.535 Th
0.244 0.753 0.253 Bi
0.247 0.250 0.748 Bi
0.249 0.757 0.747 Bi
0.751 0.243 0.253 Bi
0.753 0.750 0.252 Bi
0.756 0.247 0.747 Bi
```



Computed, not measured: crystalline Zr6SO at its relaxed geometry at the PBE level of DFT.

space-group type	No. 148
formation energy without anion corrections	-1.0439	eV/atom

Structure (POSCAR):
```
Zr6SO
1.0
2.906 1.678 5.487
-2.906 1.678 5.487
0.000 -3.355 5.487
Zr S O
6 1 1
Direct
0.092 0.433 0.743 Zr
0.257 0.908 0.567 Zr
0.433 0.743 0.092 Zr
0.567 0.257 0.908 Zr
0.743 0.092 0.433 Zr
0.908 0.567 0.257 Zr
0.000 0.000 0.000 S
0.500 0.500 0.500 O
```



Computed, not measured: crystalline LaIrBr at its relaxed geometry at the PBE level of DFT.

energy relative to the lowest polymorph listed for this composition	1.016	eV per atom
space-group type	No. 156
formation energy without anion corrections	-0.3215	eV/atom

Structure (POSCAR):
```
LaIrBr
1.0
3.841 0.000 0.000
-1.921 3.327 0.000
0.000 0.000 6.890
La Ir Br
1 1 1
Direct
0.000 0.000 0.000 La
0.333 0.667 0.737 Ir
0.667 0.333 0.311 Br
```



Computed, not measured: crystalline DyY3Ag2 at its relaxed geometry at the PBE level of DFT.

ΔE_f	12.3	kJ/mol of formula units
energy relative to the lowest polymorph listed for this composition	0.230	eV per atom
space-group type	No. 72

Structure (POSCAR):
```
DyY3Ag2
1.0
-3.524 6.988 3.723
3.524 -6.988 3.723
3.524 6.988 -3.723
Dy Y Ag
2 6 4
Direct
0.000 0.000 0.000 Dy
0.500 0.500 0.000 Dy
0.022 0.250 0.772 Y
0.250 0.750 0.500 Y
0.478 0.250 0.228 Y
0.522 0.750 0.772 Y
0.750 0.250 0.500 Y
0.978 0.750 0.228 Y
0.142 0.702 0.844 Ag
0.358 0.202 0.560 Ag
0.642 0.798 0.440 Ag
0.858 0.298 0.156 Ag
```



Computed, not measured: crystalline CaTcF3 at its relaxed geometry at the PBE level of DFT.

energy relative to the lowest polymorph listed for this composition	0.000	eV per atom
space-group type	No. 221
formation energy without anion corrections	-1.8394	eV/atom

Structure (POSCAR):
```
CaTcF3
1.0
4.430 0.000 0.000
0.000 4.430 0.000
0.000 0.000 4.430
Ca Tc F
1 1 3
Direct
0.000 0.000 0.000 Ca
0.500 0.500 0.500 Tc
0.000 0.000 0.500 F
0.000 0.500 0.000 F
0.500 0.000 0.000 F
```



Computed, not measured: crystalline Ac6GeRh3 at its relaxed geometry at the PBE level of DFT.

ΔE_f	-584.8	kJ/mol of formula units
space-group type	No. 11

Structure (POSCAR):
```
Ac6GeRh3
1.0
12.504 0.000 0.000
0.000 4.424 0.000
-4.168 0.000 11.944
Ac Ge Rh
12 2 6
Direct
0.037 0.250 0.390 Ac
0.107 0.250 0.940 Ac
0.226 0.750 0.260 Ac
0.297 0.750 0.754 Ac
0.378 0.250 0.534 Ac
0.424 0.750 0.092 Ac
0.576 0.250 0.908 Ac
0.622 0.750 0.466 Ac
0.703 0.250 0.246 Ac
0.774 0.250 0.740 Ac
0.893 0.750 0.060 Ac
0.963 0.750 0.610 Ac
0.452 0.250 0.304 Ge
0.548 0.750 0.696 Ge
0.056 0.250 0.163 Rh
0.189 0.750 0.493 Rh
0.343 0.250 0.914 Rh
0.657 0.750 0.086 Rh
0.811 0.250 0.507 Rh
0.944 0.750 0.837 Rh
```



Computed, not measured: crystalline Ce2VGa at its relaxed geometry at the PBE level of DFT.

ΔE_f	-24.1	kJ/mol of formula units
energy relative to the lowest polymorph listed for this composition	0.000	eV per atom
space-group type	No. 123

Structure (POSCAR):
```
Ce2VGa
1.0
4.365 0.000 0.000
0.000 4.365 0.000
0.000 0.000 4.464
Ce V Ga
2 1 1
Direct
0.000 0.500 0.000 Ce
0.500 0.000 0.000 Ce
0.000 0.000 0.500 V
0.500 0.500 0.500 Ga
```



Computed, not measured: crystalline MgFeSb2Se at its relaxed geometry at the PBE level of DFT.

space-group type	No. 123
formation energy without anion corrections	0.8025	eV/atom

Structure (POSCAR):
```
MgFeSb2Se
1.0
5.504 0.000 0.000
0.000 5.504 0.000
0.000 0.000 4.770
Mg Fe Sb Se
1 1 2 1
Direct
0.000 0.000 0.000 Mg
0.500 0.500 0.000 Fe
0.000 0.500 0.500 Sb
0.500 0.000 0.500 Sb
0.000 0.000 0.500 Se
```



Computed, not measured: crystalline V2SeSI at its relaxed geometry at the PBE level of DFT.

space-group type	No. 123
formation energy without anion corrections	0.9344	eV/atom

Structure (POSCAR):
```
V2SeSI
1.0
4.919 0.000 0.000
0.000 4.919 0.000
0.000 0.000 5.601
V Se S I
2 1 1 1
Direct
0.000 0.500 0.000 V
0.500 0.000 0.000 V
0.000 0.000 0.000 Se
0.500 0.500 0.500 S
0.000 0.000 0.500 I
```



Computed, not measured: crystalline SrZrCr at its relaxed geometry at the PBE level of DFT.

ΔE_f	227.6	kJ/mol of formula units
energy relative to the lowest polymorph listed for this composition	0.213	eV per atom
space-group type	No. 156

Structure (POSCAR):
```
SrZrCr
1.0
3.446 0.000 0.000
-1.723 2.984 0.000
0.000 0.000 7.779
Sr Zr Cr
1 1 1
Direct
0.000 0.000 0.000 Sr
0.667 0.333 0.399 Zr
0.333 0.667 0.652 Cr
```



Computed, not measured: crystalline ZnSn2Pt at its relaxed geometry at the PBE level of DFT.

ΔE_f	-17.3	kJ/mol of formula units
space-group type	No. 122

Structure (POSCAR):
```
ZnSn2Pt
1.0
-2.258 2.258 8.759
2.258 -2.258 8.759
2.258 2.258 -8.759
Zn Sn Pt
2 4 2
Direct
0.000 0.000 0.000 Zn
0.750 0.250 0.500 Zn
0.132 0.625 0.007 Sn
0.375 0.382 0.507 Sn
0.618 0.125 0.993 Sn
0.875 0.868 0.493 Sn
0.250 0.750 0.500 Pt
0.500 0.500 0.000 Pt
```



Computed, not measured: crystalline LaPm6Y3 at its relaxed geometry at the PBE level of DFT.

ΔE_f	238.8	kJ/mol of formula units
energy relative to the lowest polymorph listed for this composition	0.111	eV per atom
space-group type	No. 146

Structure (POSCAR):
```
LaPm6Y3
1.0
5.005 2.890 3.993
-5.005 2.890 3.993
0.000 -5.780 3.993
La Pm Y
1 6 3
Direct
0.000 0.000 0.000 La
0.000 0.328 0.672 Pm
0.173 0.827 0.500 Pm
0.328 0.672 0.000 Pm
0.500 0.173 0.827 Pm
0.672 0.000 0.328 Pm
0.827 0.500 0.173 Pm
0.254 0.254 0.254 Y
0.500 0.500 0.500 Y
0.747 0.747 0.747 Y
```



Computed, not measured: crystalline Al2PtAu at its relaxed geometry at the PBE level of DFT.

ΔE_f	-252.8	kJ/mol of formula units
energy relative to the lowest polymorph listed for this composition	0.043	eV per atom
space-group type	No. 8

Structure (POSCAR):
```
Al2PtAu
1.0
4.533 -1.636 0.000
4.533 1.636 0.000
-1.045 0.000 4.266
Al Pt Au
2 1 1
Direct
0.000 0.000 0.000 Al
0.242 0.242 0.650 Al
0.509 0.509 0.527 Pt
0.744 0.744 0.155 Au
```



Computed, not measured: crystalline EuPdPb at its relaxed geometry at the PBE level of DFT.

ΔE_f	-168.9	kJ/mol of formula units
space-group type	No. 187

Structure (POSCAR):
```
EuPdPb
1.0
4.819 0.000 0.000
-2.409 4.173 0.000
0.000 0.000 3.887
Eu Pd Pb
1 1 1
Direct
0.000 0.000 0.000 Eu
0.333 0.667 0.500 Pd
0.667 0.333 0.500 Pb
```



Computed, not measured: crystalline RbLaSb2I at its relaxed geometry at the PBE level of DFT.

space-group type	No. 123
formation energy without anion corrections	-0.4677	eV/atom

Structure (POSCAR):
```
RbLaSb2I
1.0
6.146 0.000 0.000
0.000 6.146 0.000
0.000 0.000 6.464
Rb La Sb I
1 1 2 1
Direct
0.000 0.000 0.000 Rb
0.500 0.500 0.500 La
0.000 0.500 0.500 Sb
0.500 0.000 0.500 Sb
0.500 0.500 0.000 I
```



Computed, not measured: crystalline Li3Zn2SnPd3 at its relaxed geometry at the PBE level of DFT.

ΔE_f	-386.7	kJ/mol of formula units
space-group type	No. 189

Structure (POSCAR):
```
Li3Zn2SnPd3
1.0
7.347 0.000 0.000
-3.674 6.363 0.000
0.000 0.000 2.917
Li Zn Sn Pd
3 2 1 3
Direct
0.000 0.687 0.000 Li
0.313 0.313 0.000 Li
0.687 0.000 0.000 Li
0.333 0.667 0.000 Zn
0.667 0.333 0.000 Zn
0.000 0.000 0.500 Sn
0.000 0.372 0.500 Pd
0.372 0.000 0.500 Pd
0.628 0.628 0.500 Pd
```



Computed, not measured: crystalline CaY2P at its relaxed geometry at the PBE level of DFT.

ΔE_f	-100.7	kJ/mol of formula units
space-group type	No. 119

Structure (POSCAR):
```
CaY2P
1.0
-2.201 2.201 5.359
2.201 -2.201 5.359
2.201 2.201 -5.359
Ca Y P
1 2 1
Direct
0.000 0.000 0.000 Ca
0.500 0.500 0.000 Y
0.750 0.250 0.500 Y
0.250 0.750 0.500 P
```



Computed, not measured: crystalline CsCeI5 at its relaxed geometry at the PBE level of DFT.

energy relative to the lowest polymorph listed for this composition	0.011	eV per atom
space-group type	No. 15
formation energy without anion corrections	-1.2409	eV/atom

Structure (POSCAR):
```
CsCeI5
1.0
7.541 -5.269 0.000
7.541 5.269 0.000
-5.186 0.000 11.183
Cs Ce I
2 2 10
Direct
0.064 0.936 0.750 Cs
0.936 0.064 0.250 Cs
0.500 0.500 0.000 Ce
0.500 0.500 0.500 Ce
0.203 0.765 0.032 I
0.235 0.797 0.468 I
0.265 0.303 0.386 I
0.303 0.265 0.886 I
0.444 0.556 0.750 I
0.556 0.444 0.250 I
0.697 0.735 0.114 I
0.735 0.697 0.614 I
0.765 0.203 0.532 I
0.797 0.235 0.968 I
```



Computed, not measured: crystalline Cd5Mo at its relaxed geometry at the PBE level of DFT.

ΔE_f	156.6	kJ/mol of formula units
energy relative to the lowest polymorph listed for this composition	0.027	eV per atom
space-group type	No. 38

Structure (POSCAR):
```
Cd5Mo
1.0
5.047 0.000 0.000
0.000 1.507 8.016
0.000 -1.507 8.016
Cd Mo
5 1
Direct
0.000 0.000 0.000 Cd
0.000 0.320 0.320 Cd
0.500 0.211 0.211 Cd
0.500 0.555 0.555 Cd
0.500 0.884 0.884 Cd
0.000 0.660 0.660 Mo
```



Computed, not measured: crystalline Nd10DyEr4 at its relaxed geometry at the PBE level of DFT.

ΔE_f	991.3	kJ/mol of formula units
space-group type	No. 87

Structure (POSCAR):
```
Nd10DyEr4
1.0
-6.168 6.168 3.899
6.168 -6.168 3.899
6.168 6.168 -3.899
Nd Dy Er
10 1 4
Direct
0.050 0.350 0.899 Nd
0.151 0.050 0.700 Nd
0.250 0.750 0.500 Nd
0.350 0.451 0.300 Nd
0.451 0.151 0.101 Nd
0.549 0.849 0.899 Nd
0.650 0.549 0.700 Nd
0.750 0.250 0.500 Nd
0.849 0.950 0.300 Nd
0.950 0.650 0.101 Nd
0.000 0.000 0.000 Dy
0.201 0.400 0.600 Er
0.400 0.799 0.199 Er
0.600 0.201 0.801 Er
0.799 0.600 0.400 Er
```



Computed, not measured: crystalline Er2CuSi at its relaxed geometry at the PBE level of DFT.

space-group type	No. 11
formation energy without anion corrections	-0.5412	eV/atom

Structure (POSCAR):
```
Er2CuSi
1.0
5.764 0.000 0.000
0.000 4.077 0.000
-2.706 0.000 7.281
Er Cu Si
4 2 2
Direct
0.210 0.250 0.417 Er
0.216 0.250 0.938 Er
0.784 0.750 0.062 Er
0.790 0.750 0.583 Er
0.377 0.750 0.220 Cu
0.623 0.250 0.780 Cu
0.346 0.750 0.711 Si
0.654 0.250 0.289 Si
```



no.,raw total energy (eV for the cell shown),volume (Å³ per atom)
1,-99.54,21.4
2,-99.38,13.8
3,-52.20,39.5
4,-68.73,20.1
5,-16.43,29.3
6,-59.14,30.6
7,-27.18,17.4
8,-114.77,33.0
9,-24.26,21.3
10,-17.77,28.9
11,-22.73,27.1
12,-17.49,26.7
13,-31.00,22.3
14,-50.35,34.7
15,-19.42,15.8
16,-20.93,26.1
17,-18.03,48.8
18,-31.88,15.2
19,-21.38,26.0
20,-46.45,63.5
21,-13.78,20.3
22,-60.26,39.6
23,-41.62,21.4